Entry 1:
Ba2ClO: relaxed, GGA-PBEsol.

abc: 7.117 7.117 7.117
angles: 90.00 90.00 90.00
Sites, in units of the cell vectors:
Ba  0.250  0.250  0.250
Ba  0.250  0.250  0.750
Ba  0.250  0.750  0.250
Ba  0.250  0.750  0.750
Ba  0.750  0.250  0.250
Ba  0.750  0.250  0.750
Ba  0.750  0.750  0.250
Ba  0.750  0.750  0.750
Cl  0.000  0.000  0.000
Cl  0.000  0.500  0.500
Cl  0.500  0.000  0.500
Cl  0.500  0.500  0.000
O  0.000  0.000  0.500
O  0.000  0.500  0.000
O  0.500  0.000  0.000
O  0.500  0.500  0.500

**Calculated volume**: 22.5 Å³ per atom
**Crystal system**: cubic
**Final energy**: -4.642 eV/atom
**DOS at the Fermi energy**: 6.19 states/eV/cell
**Total magnetization**: 0.0 μB per formula unit

=====

Entry 2:
Ba4Os6ClO18: relaxed, GGA-PBEsol.

abc: 8.109 8.109 8.109
angles: 109.47 109.47 109.47
Sites, in units of the cell vectors:
Ba  0.000  0.000  0.371
Ba  0.000  0.371  0.000
Ba  0.371  0.000  0.000
Ba  0.629  0.629  0.629
Os  0.134  0.500  0.634
Os  0.366  0.866  0.500
Os  0.500  0.366  0.866
Os  0.500  0.634  0.134
Os  0.634  0.134  0.500
Os  0.866  0.500  0.366
Cl  0.000  0.000  0.000
O  0.000  0.337  0.337
O  0.000  0.663  0.663
O  0.069  0.696  0.346
O  0.277  0.627  0.931
O  0.304  0.373  0.650
O  0.337  0.000  0.337
O  0.337  0.337  0.000
O  0.346  0.069  0.696
O  0.350  0.723  0.654
O  0.373  0.650  0.304
O  0.627  0.931  0.277
O  0.650  0.304  0.373
O  0.654  0.350  0.723
O  0.663  0.000  0.663
O  0.663  0.663  0.000
O  0.696  0.346  0.069
O  0.723  0.654  0.350
O  0.931  0.277  0.627

**Calculated volume**: 14.2 Å³ per atom
**Crystal system**: cubic
**Final energy**: -7.814 eV/atom
**DOS at the Fermi energy**: 14.66 states/eV/cell
**Total magnetization**: 0.0 μB per formula unit

=====

Entry 3:
Ba3P3ClO10: relaxed, GGA-PBEsol.

abc: 14.241 5.572 14.191
angles: 90.00 90.00 90.00
Sites, in units of the cell vectors:
Ba  0.057  0.013  0.000
Ba  0.184  0.500  0.573
Ba  0.204  0.999  0.286
Ba  0.296  0.999  0.786
Ba  0.316  0.500  0.073
Ba  0.443  0.013  0.500
Ba  0.557  0.987  0.000
Ba  0.684  0.500  0.573
Ba  0.704  0.001  0.286
Ba  0.796  0.001  0.786
Ba  0.816  0.500  0.073
Ba  0.943  0.987  0.500
P  0.035  0.501  0.347
P  0.085  0.515  0.139
P  0.178  0.490  0.868
P  0.322  0.490  0.368
P  0.415  0.515  0.639
P  0.465  0.501  0.847
P  0.535  0.499  0.347
P  0.585  0.485  0.139
P  0.678  0.510  0.868
P  0.822  0.510  0.368
P  0.915  0.485  0.639
P  0.965  0.499  0.847
Cl  0.121  0.997  0.638
Cl  0.379  0.997  0.138
Cl  0.621  0.003  0.638
Cl  0.879  0.003  0.138
O  0.008  0.519  0.064
O  0.027  0.545  0.237
O  0.051  0.239  0.368
O  0.067  0.407  0.875
O  0.101  0.679  0.392
O  0.139  0.278  0.141
O  0.150  0.734  0.132
O  0.184  0.739  0.912
O  0.209  0.482  0.766
O  0.221  0.290  0.928
O  0.279  0.290  0.428
O  0.291  0.482  0.266
O  0.316  0.739  0.412
O  0.350  0.734  0.632
O  0.361  0.278  0.641
O  0.399  0.679  0.892
O  0.433  0.407  0.375
O  0.449  0.239  0.868
O  0.473  0.545  0.737
O  0.492  0.519  0.564
O  0.508  0.481  0.064
O  0.527  0.455  0.237
O  0.551  0.761  0.368
O  0.567  0.593  0.875
O  0.601  0.321  0.392
O  0.639  0.722  0.141
O  0.650  0.266  0.132
O  0.684  0.261  0.912
O  0.709  0.518  0.766
O  0.721  0.710  0.928
O  0.779  0.710  0.428
O  0.791  0.518  0.266
O  0.816  0.261  0.412
O  0.850  0.266  0.632
O  0.861  0.722  0.641
O  0.899  0.321  0.892
O  0.933  0.593  0.375
O  0.949  0.761  0.868
O  0.973  0.455  0.737
O  0.992  0.481  0.564

**Calculated volume**: 16.6 Å³ per atom
**Crystal system**: orthorhombic
**Final energy**: -7.316 eV/atom
**DOS at the Fermi energy**: 0.00 states/eV/cell
**Total magnetization**: 0.0 μB per formula unit

=====

Entry 4:
Ba4SrRe3ClO15: relaxed, GGA-PBEsol.

abc: 10.787 10.787 7.729
angles: 90.00 90.00 120.00
Sites, in units of the cell vectors:
Ba  0.000  0.262  0.000
Ba  0.000  0.741  0.499
Ba  0.259  0.259  0.499
Ba  0.262  0.000  0.000
Ba  0.333  0.667  0.742
Ba  0.667  0.333  0.742
Ba  0.738  0.738  0.000
Ba  0.741  0.000  0.499
Sr  0.333  0.667  0.246
Sr  0.667  0.333  0.246
Re  0.000  0.395  0.438
Re  0.000  0.613  0.952
Re  0.387  0.387  0.952
Re  0.395  0.000  0.438
Re  0.605  0.605  0.438
Re  0.613  0.000  0.952
Cl  0.000  0.000  0.283
Cl  0.000  0.000  0.778
O  0.000  0.299  0.621
O  0.000  0.721  0.122
O  0.134  0.744  0.802
O  0.135  0.560  0.002
O  0.135  0.586  0.476
O  0.136  0.393  0.296
O  0.256  0.390  0.802
O  0.258  0.864  0.296
O  0.279  0.279  0.122
O  0.299  0.000  0.621
O  0.390  0.256  0.802
O  0.393  0.136  0.296
O  0.414  0.548  0.476
O  0.425  0.865  0.002
O  0.440  0.575  0.002
O  0.452  0.865  0.476
O  0.548  0.414  0.476
O  0.560  0.135  0.002
O  0.575  0.440  0.002
O  0.586  0.135  0.476
O  0.607  0.742  0.296
O  0.610  0.866  0.802
O  0.701  0.701  0.621
O  0.721  0.000  0.122
O  0.742  0.607  0.296
O  0.744  0.134  0.802
O  0.864  0.258  0.296
O  0.865  0.425  0.002
O  0.865  0.452  0.476
O  0.866  0.610  0.802

**Calculated volume**: 16.2 Å³ per atom
**Crystal system**: trigonal
**Final energy**: -7.785 eV/atom
**DOS at the Fermi energy**: 0.00 states/eV/cell
**Total magnetization**: 0.0 μB per formula unit

=====

Entry 5:
Ba7Ru4Cl2O15: relaxed, GGA-PBEsol.

abc: 17.450 17.450 17.450
angles: 19.03 19.03 19.03
Sites, in units of the cell vectors:
Ba  0.000  0.000  0.000
Ba  0.084  0.084  0.084
Ba  0.206  0.206  0.206
Ba  0.286  0.286  0.286
Ba  0.714  0.714  0.714
Ba  0.794  0.794  0.794
Ba  0.916  0.916  0.916
Ru  0.354  0.354  0.354
Ru  0.405  0.405  0.405
Ru  0.595  0.595  0.595
Ru  0.646  0.646  0.646
Cl  0.144  0.144  0.144
Cl  0.856  0.856  0.856
O  0.000  0.500  0.500
O  0.105  0.584  0.584
O  0.223  0.223  0.689
O  0.223  0.689  0.223
O  0.311  0.777  0.777
O  0.416  0.416  0.895
O  0.416  0.895  0.416
O  0.500  0.000  0.500
O  0.500  0.500  0.000
O  0.584  0.105  0.584
O  0.584  0.584  0.105
O  0.689  0.223  0.223
O  0.777  0.311  0.777
O  0.777  0.777  0.311
O  0.895  0.416  0.416

**Calculated volume**: 17.6 Å³ per atom
**Crystal system**: trigonal
**Final energy**: -6.974 eV/atom
**DOS at the Fermi energy**: 7.07 states/eV/cell
**Total magnetization**: 2.3 μB per formula unit

=====

Entry 6:
Ba5Ru2Cl2O9: relaxed, GGA-PBEsol.

abc: 5.806 5.806 24.935
angles: 90.00 90.00 120.00
Sites, in units of the cell vectors:
Ba  0.333  0.667  0.082
Ba  0.333  0.667  0.250
Ba  0.333  0.667  0.418
Ba  0.333  0.667  0.671
Ba  0.333  0.667  0.829
Ba  0.667  0.333  0.171
Ba  0.667  0.333  0.329
Ba  0.667  0.333  0.582
Ba  0.667  0.333  0.750
Ba  0.667  0.333  0.918
Ru  0.000  0.000  0.194
Ru  0.000  0.000  0.306
Ru  0.000  0.000  0.694
Ru  0.000  0.000  0.806
Cl  0.333  0.667  0.546
Cl  0.333  0.667  0.954
Cl  0.667  0.333  0.046
Cl  0.667  0.333  0.454
O  0.151  0.302  0.750
O  0.151  0.849  0.750
O  0.161  0.321  0.156
O  0.161  0.321  0.344
O  0.161  0.839  0.156
O  0.161  0.839  0.344
O  0.302  0.151  0.250
O  0.321  0.161  0.656
O  0.321  0.161  0.844
O  0.679  0.839  0.156
O  0.679  0.839  0.344
O  0.698  0.849  0.750
O  0.839  0.161  0.656
O  0.839  0.161  0.844
O  0.839  0.679  0.656
O  0.839  0.679  0.844
O  0.849  0.151  0.250
O  0.849  0.698  0.250

**Calculated volume**: 20.2 Å³ per atom
**Crystal system**: hexagonal
**Final energy**: -6.697 eV/atom
**DOS at the Fermi energy**: 0.66 states/eV/cell
**Total magnetization**: 6.0 μB per formula unit

=====

Entry 7:
Ba6Ru3Cl2O12: relaxed, GGA-PBEsol.

abc: 5.796 5.796 14.877
angles: 90.00 90.00 120.00
Sites, in units of the cell vectors:
Ba  0.333  0.667  0.081
Ba  0.333  0.667  0.363
Ba  0.333  0.667  0.785
Ba  0.667  0.333  0.215
Ba  0.667  0.333  0.637
Ba  0.667  0.333  0.919
Ru  0.000  0.000  0.000
Ru  0.000  0.000  0.172
Ru  0.000  0.000  0.828
Cl  0.333  0.667  0.576
Cl  0.667  0.333  0.424
O  0.156  0.311  0.918
O  0.156  0.844  0.918
O  0.160  0.319  0.239
O  0.160  0.840  0.239
O  0.311  0.156  0.082
O  0.319  0.160  0.761
O  0.681  0.840  0.239
O  0.689  0.844  0.918
O  0.840  0.160  0.761
O  0.840  0.681  0.761
O  0.844  0.156  0.082
O  0.844  0.689  0.082

**Calculated volume**: 18.8 Å³ per atom
**Crystal system**: trigonal
**Final energy**: -6.862 eV/atom
**DOS at the Fermi energy**: 6.64 states/eV/cell
**Total magnetization**: 3.5 μB per formula unit

=====

Entry 8:
Ba10Ru3WCl4O18: relaxed, GGA-PBEsol.

abc: 5.836 5.836 24.840
angles: 90.00 90.00 120.00
Sites, in units of the cell vectors:
Ba  0.000  0.000  0.000
Ba  0.000  0.000  0.159
Ba  0.000  0.000  0.412
Ba  0.000  0.000  0.585
Ba  0.000  0.000  0.746
Ba  0.333  0.667  0.079
Ba  0.333  0.667  0.247
Ba  0.333  0.667  0.500
Ba  0.333  0.667  0.661
Ba  0.333  0.667  0.911
Ru  0.667  0.333  0.023
Ru  0.667  0.333  0.136
Ru  0.667  0.333  0.632
W  0.667  0.333  0.526
Cl  0.000  0.000  0.285
Cl  0.000  0.000  0.875
Cl  0.333  0.667  0.376
Cl  0.333  0.667  0.785
O  0.347  0.174  0.672
O  0.350  0.175  0.487
O  0.365  0.183  0.080
O  0.506  0.013  0.985
O  0.506  0.494  0.985
O  0.507  0.013  0.174
O  0.507  0.493  0.174
O  0.508  0.016  0.577
O  0.508  0.492  0.577
O  0.817  0.183  0.080
O  0.817  0.635  0.080
O  0.825  0.175  0.487
O  0.825  0.650  0.487
O  0.826  0.174  0.672
O  0.826  0.653  0.672
O  0.984  0.492  0.577
O  0.987  0.493  0.174
O  0.987  0.494  0.985

**Calculated volume**: 20.4 Å³ per atom
**Crystal system**: trigonal
**Final energy**: -6.933 eV/atom
**DOS at the Fermi energy**: 2.65 states/eV/cell
**Total magnetization**: 8.0 μB per formula unit

=====

What is the DOS at the Fermi energy in the second record? 14.66 states/eV/cell

=====

What is the formula in the fourth record? Ba4SrRe3ClO15

=====

What is the formula in the first record? Ba2ClO

=====

Which value of final energy does entry 7 give? -6.862 eV/atom